No. 1
# PBE-GGA Sc2TlIn, relaxed
data_Sc2TlIn
_chemical_formula_sum 'Sc4 Tl2 In2'
_symmetry_space_group_name_H-M 'C 1 2/m 1'
_symmetry_Int_Tables_number 12
_cell_length_a 9.7622
_cell_length_b 3.5072
_cell_length_c 5.8747
_cell_angle_alpha 90.00
_cell_angle_beta 103.13
_cell_angle_gamma 90.00
loop_
_symmetry_equiv_pos_as_xyz
'x,y,z'
'-x,-y,-z'
'-x,y,-z'
'x,-y,z'
'x+1/2,y+1/2,z'
'-x+1/2,-y+1/2,-z'
'-x+1/2,y+1/2,-z'
'x+1/2,-y+1/2,z'
loop_
_atom_site_label
_atom_site_type_symbol
_atom_site_fract_x
_atom_site_fract_y
_atom_site_fract_z
Sc1 Sc 0.2492 0.0000 0.2461
Tl1 Tl 0.0000 0.0000 0.5000
In1 In 0.0000 0.5000 0.0000
# Distance to the lowest polymorph of the same formula   0.106 eV/atom
# Crystal system   monoclinic
# Calculated formation energy   -0.238 eV/atom
# V   24.5 Å³/atom
# D(E_F)   1.07 states/eV per atom
# Calculated density   6.9 Mg/m³



No. 2
# PBE-GGA ScTlIn, relaxed
data_ScTlIn
_chemical_formula_sum 'Sc4 Tl4 In4'
_symmetry_space_group_name_H-M 'F -4 3 m'
_symmetry_Int_Tables_number 216
_symmetry_space_group_name_Hall 'F -4 2 3'
_cell_length_a 6.9123
_cell_length_b 6.9123
_cell_length_c 6.9123
_cell_angle_alpha 90.00
_cell_angle_beta 90.00
_cell_angle_gamma 90.00
loop_
_atom_site_label
_atom_site_type_symbol
_atom_site_fract_x
_atom_site_fract_y
_atom_site_fract_z
Sc1 Sc 0.0000 0.0000 0.0000
Tl1 Tl 0.0000 0.0000 0.5000
In1 In 0.2500 0.2500 0.7500
# Distance to the lowest polymorph of the same formula   0.219 eV/atom
# Crystal system   cubic
# Calculated formation energy   0.069 eV/atom
# V   27.5 Å³/atom
# D(E_F)   0.84 states/eV per atom
# Calculated density   7.3 Mg/m³



No. 3
# PBE-GGA ScTlIn2, relaxed
data_ScTlIn2
_chemical_formula_sum 'Sc4 Tl4 In8'
_symmetry_space_group_name_H-M 'I -4 2 d'
_symmetry_Int_Tables_number 122
_symmetry_space_group_name_Hall 'I -4 2bw'
_cell_length_a 8.2916
_cell_length_b 8.2916
_cell_length_c 6.1843
_cell_angle_alpha 90.00
_cell_angle_beta 90.00
_cell_angle_gamma 90.00
loop_
_atom_site_label
_atom_site_type_symbol
_atom_site_fract_x
_atom_site_fract_y
_atom_site_fract_z
Sc1 Sc 0.0000 0.0000 0.0000
Tl1 Tl 0.0000 0.0000 0.5000
In1 In 0.2450 0.2500 0.6250
# Crystal system   tetragonal
# Calculated formation energy   0.027 eV/atom
# V   26.6 Å³/atom
# D(E_F)   0.62 states/eV per atom
# Calculated density   7.5 Mg/m³



No. 4
# PBE-GGA ScTlIn2, relaxed
data_ScTlIn2
_chemical_formula_sum 'Sc2 Tl2 In4'
_symmetry_space_group_name_H-M 'I 4/m m m'
_symmetry_Int_Tables_number 139
_symmetry_space_group_name_Hall '-I 4 2'
_cell_length_a 4.4165
_cell_length_b 4.4165
_cell_length_c 9.8955
_cell_angle_alpha 90.00
_cell_angle_beta 90.00
_cell_angle_gamma 90.00
loop_
_atom_site_label
_atom_site_type_symbol
_atom_site_fract_x
_atom_site_fract_y
_atom_site_fract_z
Sc1 Sc 0.0000 0.0000 0.0000
Tl1 Tl 0.0000 0.0000 0.5000
In1 In 0.0000 0.5000 0.2500
# Crystal system   tetragonal
# Calculated formation energy   -0.196 eV/atom
# V   24.1 Å³/atom
# D(E_F)   0.55 states/eV per atom
# Calculated density   8.2 Mg/m³



No. 5
# PBE-GGA Sc6Tl5In, relaxed
data_Sc6Tl5In
_chemical_formula_sum 'Sc12 Tl10 In2'
_symmetry_space_group_name_H-M 'C 1 2/m 1'
_symmetry_Int_Tables_number 12
_cell_length_a 8.8001
_cell_length_b 15.2803
_cell_length_c 5.0880
_cell_angle_alpha 90.00
_cell_angle_beta 125.27
_cell_angle_gamma 90.00
loop_
_symmetry_equiv_pos_as_xyz
'x,y,z'
'-x,-y,-z'
'-x,y,-z'
'x,-y,z'
'x+1/2,y+1/2,z'
'-x+1/2,-y+1/2,-z'
'-x+1/2,y+1/2,-z'
'x+1/2,-y+1/2,z'
loop_
_atom_site_label
_atom_site_type_symbol
_atom_site_fract_x
_atom_site_fract_y
_atom_site_fract_z
Sc1 Sc 0.2503 0.0000 0.2503
Sc2 Sc 0.2502 0.1665 0.7502
Tl1 Tl 0.0000 0.0000 0.5000
Tl2 Tl 0.0000 0.1670 0.0000
Tl3 Tl 0.0000 0.3341 0.5000
In1 In 0.0000 0.5000 0.0000
# Crystal system   monoclinic
# Calculated formation energy   -0.279 eV/atom
# V   23.3 Å³/atom
# D(E_F)   0.77 states/eV per atom
# Calculated density   8.4 Mg/m³



No. 6
# PBE-GGA Sc2TlIn, relaxed
data_Sc2TlIn
_chemical_formula_sum 'Sc6 Tl3 In3'
_symmetry_space_group_name_H-M 'R 3 m'
_symmetry_Int_Tables_number 160
_symmetry_space_group_name_Hall 'R 3 -2"'
_cell_length_a 3.4330
_cell_length_b 3.4330
_cell_length_c 28.7752
_cell_angle_alpha 90.00
_cell_angle_beta 90.00
_cell_angle_gamma 120.00
loop_
_atom_site_label
_atom_site_type_symbol
_atom_site_fract_x
_atom_site_fract_y
_atom_site_fract_z
Sc1 Sc 0.0000 0.0000 0.0000
Sc2 Sc 0.0000 0.0000 0.1699
Tl1 Tl 0.0000 0.0000 0.4182
In1 In 0.0000 0.0000 0.5851
# Distance to the lowest polymorph of the same formula   0.121 eV/atom
# Crystal system   trigonal
# Calculated formation energy   -0.223 eV/atom
# V   24.5 Å³/atom
# D(E_F)   1.17 states/eV per atom
# Calculated density   6.9 Mg/m³



No. 7
# PBE-GGA Sc2TlIn, relaxed
data_Sc2TlIn
_chemical_formula_sum 'Sc2 Tl1 In1'
_symmetry_space_group_name_H-M 'P m m m'
_symmetry_Int_Tables_number 47
_cell_length_a 3.2133
_cell_length_b 4.3322
_cell_length_c 6.5708
_cell_angle_alpha 90.00
_cell_angle_beta 90.00
_cell_angle_gamma 90.00
loop_
_symmetry_equiv_pos_as_xyz
'x,y,z'
'-x,-y,-z'
'-x,-y,z'
'x,y,-z'
'x,-y,-z'
'-x,y,z'
'-x,y,-z'
'x,-y,z'
loop_
_atom_site_label
_atom_site_type_symbol
_atom_site_fract_x
_atom_site_fract_y
_atom_site_fract_z
Sc1 Sc 0.0000 0.0000 0.2481
Tl1 Tl 0.5000 0.5000 0.5000
In1 In 0.5000 0.5000 0.0000
# Distance to the lowest polymorph of the same formula   0.003 eV/atom
# Crystal system   orthorhombic
# Calculated formation energy   -0.341 eV/atom
# V   22.9 Å³/atom
# D(E_F)   0.73 states/eV per atom
# Calculated density   7.4 Mg/m³



No. 8
# PBE-GGA Sc5Tl3In, relaxed
data_Sc5Tl3In
_chemical_formula_sum 'Sc10 Tl6 In2'
_symmetry_space_group_name_H-M 'P 63/m c m'
_symmetry_Int_Tables_number 193
_symmetry_space_group_name_Hall '-P 6c 2'
_cell_length_a 8.7966
_cell_length_b 8.7966
_cell_length_c 6.2957
_cell_angle_alpha 90.00
_cell_angle_beta 90.00
_cell_angle_gamma 120.00
loop_
_atom_site_label
_atom_site_type_symbol
_atom_site_fract_x
_atom_site_fract_y
_atom_site_fract_z
Sc1 Sc 0.0000 0.2912 0.2500
Sc2 Sc 0.3333 0.6667 0.0000
Tl1 Tl 0.0000 0.3737 0.7500
In1 In 0.0000 0.0000 0.0000
# Crystal system   hexagonal
# Calculated formation energy   -0.312 eV/atom
# V   23.4 Å³/atom
# D(E_F)   0.84 states/eV per atom
# Calculated density   7.5 Mg/m³



calculated formation energy of number 1 (Sc2TlIn)? -0.238 eV/atom



Repeat the fourth record exactly.
# PBE-GGA ScTlIn2, relaxed
data_ScTlIn2
_chemical_formula_sum 'Sc2 Tl2 In4'
_symmetry_space_group_name_H-M 'I 4/m m m'
_symmetry_Int_Tables_number 139
_symmetry_space_group_name_Hall '-I 4 2'
_cell_length_a 4.4165
_cell_length_b 4.4165
_cell_length_c 9.8955
_cell_angle_alpha 90.00
_cell_angle_beta 90.00
_cell_angle_gamma 90.00
loop_
_atom_site_label
_atom_site_type_symbol
_atom_site_fract_x
_atom_site_fract_y
_atom_site_fract_z
Sc1 Sc 0.0000 0.0000 0.0000
Tl1 Tl 0.0000 0.0000 0.5000
In1 In 0.0000 0.5000 0.2500
# Crystal system   tetragonal
# Calculated formation energy   -0.196 eV/atom
# V   24.1 Å³/atom
# D(E_F)   0.55 states/eV per atom
# Calculated density   8.2 Mg/m³



Look up the calculated formation energy of the fifth one. -0.279 eV/atom